No. 1
{"formula": "RbCd3InHg", "functional": "GGA-PBE", "state": "relaxed", "lattice": [[-2.199, -0.067, -5.894], [-0.117, -6.562, 0.119], [-9.127, 3.506, 3.365]], "species": ["Cd", "Cd", "Cd", "Cd", "Cd", "Cd", "In", "In", "Hg", "Hg", "Rb", "Rb"], "fractional_positions": [[0.750, 0.906, 0.812], [0.000, 0.725, 0.000], [0.250, 0.094, 0.188], [0.500, 0.725, 0.000], [0.000, 0.275, 0.000], [0.500, 0.275, 0.000], [0.250, 0.886, 0.772], [0.750, 0.114, 0.228], [0.750, 0.622, 0.244], [0.250, 0.378, 0.756], [0.250, 0.698, 0.396], [0.750, 0.302, 0.604]], "magmom_total_mub_per_cell": 0.000, "delta_e_f_ev_per_atom": -0.04, "sg": "Cmcm, No. 63", "dft_energy_ev_per_fu": -7.0}

=====

No. 2
{"formula": "RbCdIn2Hg", "functional": "GGA-PBE", "state": "relaxed", "lattice": [[4.982, 0.000, 0.000], [0.000, 4.993, 0.000], [-2.491, -2.497, 6.367]], "species": ["Hg", "Rb", "In", "In", "Cd"], "fractional_positions": [[0.829, 0.829, 0.657], [0.439, 0.439, 0.877], [0.061, 0.061, 0.121], [0.695, 0.195, 0.390], [0.189, 0.689, 0.378]], "magmom_total_mub_per_cell": 0.000, "delta_e_f_ev_per_atom": -0.11, "sg": "Imm2, No. 44", "dft_energy_ev_per_fu": -8.2}

=====

No. 3
{"formula": "RbCdIn2Hg2", "functional": "GGA-PBE", "state": "relaxed", "lattice": [[-4.403, 0.506, 2.466], [3.865, -2.449, 2.188], [2.782, 7.459, 3.434]], "species": ["In", "In", "Hg", "Hg", "Cd", "Rb"], "fractional_positions": [[0.667, 0.333, 0.666], [0.333, 0.667, 0.334], [0.333, 0.667, 0.723], [0.667, 0.333, 0.277], [0.000, 0.000, 0.500], [0.000, 0.000, 0.000]], "magmom_total_mub_per_cell": 0.000, "delta_e_f_ev_per_atom": -0.10, "sg": "P-3m1, No. 164", "dft_energy_ev_per_fu": -8.6}

=====

No. 4
{"formula": "RbCd2InHg4", "functional": "GGA-PBE", "state": "relaxed", "lattice": [[5.051, 0.000, 0.000], [2.525, 4.374, 0.000], [2.525, 1.458, 10.978]], "species": ["Hg", "Hg", "Hg", "Hg", "Cd", "Cd", "In", "Rb"], "fractional_positions": [[0.602, 0.602, 0.195], [0.130, 0.130, 0.609], [0.870, 0.870, 0.391], [0.398, 0.398, 0.805], [0.237, 0.237, 0.288], [0.763, 0.763, 0.712], [0.500, 0.500, 0.500], [0.000, 0.000, 0.000]], "magmom_total_mub_per_cell": 0.000, "delta_e_f_ev_per_atom": -0.08, "sg": "R-3m, No. 166", "dft_energy_ev_per_fu": -7.4}

=====

No. 5
{"formula": "RbCdIn2Hg8", "functional": "GGA-PBE", "state": "relaxed", "lattice": [[5.814, -0.285, -0.234], [2.429, 5.290, -0.234], [-0.199, -0.121, 11.516]], "species": ["Hg", "Hg", "Hg", "Hg", "Hg", "Hg", "Hg", "Hg", "Rb", "Cd", "In", "In"], "fractional_positions": [[0.668, 0.668, 0.021], [0.324, 0.837, 0.791], [0.676, 0.163, 0.209], [0.332, 0.332, 0.979], [0.661, 0.661, 0.576], [0.163, 0.676, 0.209], [0.837, 0.324, 0.791], [0.339, 0.339, 0.424], [0.000, 0.000, 0.500], [0.000, 0.000, 0.000], [0.332, 0.332, 0.693], [0.668, 0.668, 0.307]], "magmom_total_mub_per_cell": 0.000, "delta_e_f_ev_per_atom": -0.02, "sg": "C2/m, No. 12", "dft_energy_ev_per_fu": -10.0}

=====

No. 6
{"formula": "RbCd2In4Hg", "functional": "GGA-PBE", "state": "relaxed", "lattice": [[-5.085, -0.525, 0.340], [-2.256, -4.263, -1.727], [-1.313, -6.192, 9.401]], "species": ["Hg", "In", "In", "In", "In", "Rb", "Cd", "Cd"], "fractional_positions": [[0.500, 0.500, 0.500], [0.407, 0.407, 0.778], [0.593, 0.593, 0.222], [0.870, 0.870, 0.391], [0.130, 0.130, 0.609], [0.000, 0.000, 0.000], [0.245, 0.245, 0.266], [0.755, 0.755, 0.734]], "magmom_total_mub_per_cell": 0.000, "delta_e_f_ev_per_atom": -0.03, "sg": "R-3m, No. 166", "dft_energy_ev_per_fu": -14.3}

=====

Please write out number 4 again, unchanged.
{"formula": "RbCd2InHg4", "functional": "GGA-PBE", "state": "relaxed", "lattice": [[5.051, 0.000, 0.000], [2.525, 4.374, 0.000], [2.525, 1.458, 10.978]], "species": ["Hg", "Hg", "Hg", "Hg", "Cd", "Cd", "In", "Rb"], "fractional_positions": [[0.602, 0.602, 0.195], [0.130, 0.130, 0.609], [0.870, 0.870, 0.391], [0.398, 0.398, 0.805], [0.237, 0.237, 0.288], [0.763, 0.763, 0.712], [0.500, 0.500, 0.500], [0.000, 0.000, 0.000]], "magmom_total_mub_per_cell": 0.000, "delta_e_f_ev_per_atom": -0.08, "sg": "R-3m, No. 166", "dft_energy_ev_per_fu": -7.4}